(1)
TbPrHoCu: optimized geometry, PBE.

a = 3.5375 Å, b = 3.5375 Å, c = 8.7319 Å
α = 90.00°, β = 90.00°, γ = 90.00°
Last column: nearest neighbours and their distance in Å.
Positions (direct):
Tb: 0.0000 0.0000 0.0000  4 Cu 3.03, 1 Ho 3.33
Pr: 0.5000 0.5000 0.3106  4 Pr 3.54, 4 Ho 3.67, 4 Tb 3.69
Ho: 0.0000 0.0000 0.6182  4 Cu 2.98, 1 Tb 3.33
Cu: 0.5000 0.5000 0.8036  4 Ho 2.98, 4 Tb 3.03

Magnetic moment ... 0.000 μB per cell
N(E_F) ... 3.633 states/eV per cell
Space group ... P4mm (99)
VASP energy ... -18.5 eV for the cell shown
Calculated formation energy ... -0.10 eV/atom

(2)
Pr2HoCuTe5: optimized geometry, PBE.

a = 9.8007 Å, b = 9.8007 Å, c = 13.0488 Å
α = 90.00°, β = 90.00°, γ = 154.48°
Last column: nearest neighbours and their distance in Å.
Positions (direct):
Pr: 0.1091 0.8909 0.5000  8 Te 3.28-3.38
Pr: 0.1243 0.8757 0.1202  8 Te 3.23-3.61
Pr: 0.8757 0.1243 0.6202  8 Te 3.23-3.61
Pr: 0.8909 0.1091 0.0000  8 Te 3.28-3.38
Ho: 0.1908 0.8092 0.8233  6 Te 2.92-3.12, 2 Cu 3.21
Ho: 0.8092 0.1908 0.3233  6 Te 2.92-3.12, 2 Cu 3.21
Cu: 0.4282 0.5718 0.2720  4 Te 2.62-2.68
Cu: 0.5718 0.4282 0.7720  4 Te 2.62-2.68
Te: 0.0422 0.9578 0.8769  2 Cu 2.62, 1 Ho 2.92
Te: 0.2859 0.7141 0.4846  2 Ho 3.05, 3 Pr 3.28-3.38
Te: 0.3115 0.6885 0.1575  1 Cu 2.68
Te: 0.3539 0.6461 0.8131  1 Ho 3.12, 4 Pr 3.34-3.35
Te: 0.4997 0.5003 0.1005  1 Cu 2.62
Te: 0.5003 0.4997 0.6005  1 Cu 2.62
Te: 0.6461 0.3539 0.3131  1 Ho 3.12, 4 Pr 3.34-3.35
Te: 0.6885 0.3115 0.6575  1 Cu 2.68
Te: 0.7141 0.2859 0.9846  2 Ho 3.05, 3 Pr 3.28-3.38
Te: 0.9578 0.0422 0.3769  2 Cu 2.62, 1 Ho 2.92

Magnetic moment ... 0.000 μB per cell
N(E_F) ... 0.144 states/eV per cell
Space group ... Cmc2_1 (36)
ΔE_f (raw) ... -1.214 eV per atom
VASP energy ... -89.7 eV for the cell shown

(3)
PrHoTlCu: optimized geometry, PBE.

a = 5.2781 Å, b = 5.2781 Å, c = 5.2781 Å
α = 60.00°, β = 60.00°, γ = 60.00°
Last column: nearest neighbours and their distance in Å.
Positions (direct):
Pr: 0.0000 0.0000 0.0000  4 Tl 3.23, 4 Cu 3.23
Ho: 0.5000 0.5000 0.5000  4 Tl 3.23, 4 Cu 3.23
Tl: 0.7500 0.7500 0.7500  4 Ho 3.23, 4 Pr 3.23
Cu: 0.2500 0.2500 0.2500  4 Ho 3.23, 4 Pr 3.23

Magnetic moment ... 0.041 μB per cell
N(E_F) ... 3.794 states/eV per cell
Space group ... F-43m (216)
VASP energy ... -16.7 eV for the cell shown
Calculated formation energy ... -0.21 eV/atom

(4)
Ho2CuPt3: optimized geometry, PBE.

a = 5.2450 Å, b = 5.2450 Å, c = 5.2450 Å
α = 63.33°, β = 63.33°, γ = 63.33°
Last column: nearest neighbours and their distance in Å.
Positions (direct):
Ho: 0.1272 0.1272 0.1272  9 Pt 3.03-3.18, 4 Ho 3.18-3.33, 3 Cu 3.22
Ho: 0.8728 0.8728 0.8728  9 Pt 3.03-3.18, 4 Ho 3.18-3.33, 3 Cu 3.22
Cu: 0.5000 0.5000 0.5000  6 Pt 2.62
Pt: 0.0000 0.5000 0.5000  2 Cu 2.62, 4 Pt 2.75
Pt: 0.5000 0.0000 0.5000  2 Cu 2.62, 4 Pt 2.75
Pt: 0.5000 0.5000 0.0000  2 Cu 2.62, 4 Pt 2.75

Magnetic moment ... 0.000 μB per cell
N(E_F) ... 3.322 states/eV per cell
Space group ... R-3m (166)
VASP energy ... -37.4 eV for the cell shown
Calculated formation energy ... -1.00 eV/atom

(5)
HoCuPt4: optimized geometry, PBE.

a = 5.3153 Å, b = 5.3153 Å, c = 5.3153 Å
α = 60.00°, β = 60.00°, γ = 60.00°
Last column: nearest neighbours and their distance in Å.
Positions (direct):
Ho: 0.0000 0.0000 0.0000  12 Pt 3.12, 4 Cu 3.25
Cu: 0.2500 0.2500 0.2500  12 Pt 3.12, 4 Ho 3.25
Pt: 0.1266 0.6245 0.6245  6 Pt 2.65-2.67
Pt: 0.6245 0.1266 0.6245  6 Pt 2.65-2.67
Pt: 0.6245 0.6245 0.1266  6 Pt 2.65-2.67
Pt: 0.6245 0.6245 0.6245  6 Pt 2.65-2.67

Magnetic moment ... 0.000 μB per cell
N(E_F) ... 7.582 states/eV per cell
Space group ... F-43m (216)
VASP energy ... -36.6 eV for the cell shown
Calculated formation energy ... -0.63 eV/atom

(6)
Ho3Cu2Pt: optimized geometry, PBE.

a = 3.4547 Å, b = 3.4547 Å, c = 10.4783 Å
α = 90.00°, β = 90.00°, γ = 90.00°
Last column: nearest neighbours and their distance in Å.
Positions (direct):
Ho: 0.0000 0.0000 0.0000  8 Cu 2.99
Ho: 0.0000 0.0000 0.3348  4 Pt 2.99, 4 Cu 3.03
Ho: 0.0000 0.0000 0.6652  4 Pt 2.99, 4 Cu 3.03
Cu: 0.5000 0.5000 0.1638  8 Ho 2.99-3.03
Cu: 0.5000 0.5000 0.8362  8 Ho 2.99-3.03
Pt: 0.5000 0.5000 0.5000  8 Ho 2.99

Magnetic moment ... 0.000 μB per cell
Offset from the most stable computed form ... 0.00 eV/f.u.
N(E_F) ... 2.699 states/eV per cell
Space group ... P4/mmm (123)
VASP energy ... -31.6 eV for the cell shown
Calculated formation energy ... -0.60 eV/atom

(7)
Ho6CuPt5: optimized geometry, PBE.

a = 8.5264 Å, b = 8.5264 Å, c = 8.5264 Å
α = 146.50°, β = 131.93°, γ = 59.86°
Last column: nearest neighbours and their distance in Å.
Positions (direct):
Ho: 0.0812 0.3328 0.7484  7 Pt 2.96-3.08, 1 Cu 3.03
Ho: 0.2467 0.0000 0.2467  6 Pt 2.94-3.06, 2 Cu 3.02
Ho: 0.4157 0.6672 0.7484  7 Pt 2.96-3.08, 1 Cu 3.03
Ho: 0.5843 0.3328 0.2516  7 Pt 2.96-3.08, 1 Cu 3.03
Ho: 0.7533 0.0000 0.7533  6 Pt 2.94-3.06, 2 Cu 3.02
Ho: 0.9188 0.6672 0.2516  7 Pt 2.96-3.08, 1 Cu 3.03
Cu: 0.5000 0.5000 0.0000  8 Ho 3.02-3.03
Pt: 0.0000 0.5000 0.5000  8 Ho 3.00-3.01
Pt: 0.1712 0.1712 0.0000  8 Ho 2.96-3.06
Pt: 0.3403 0.8403 0.5000  8 Ho 2.94-3.08
Pt: 0.6597 0.1597 0.5000  8 Ho 2.94-3.08
Pt: 0.8288 0.8288 0.0000  8 Ho 2.96-3.06

Magnetic moment ... 0.000 μB per cell
N(E_F) ... 6.593 states/eV per cell
Space group ... Immm (71)
VASP energy ... -74.9 eV for the cell shown
Calculated formation energy ... -1.09 eV/atom

(8)
Ho3Cu2Pt: optimized geometry, PBE.

a = 11.5805 Å, b = 4.3598 Å, c = 10.5934 Å
α = 90.00°, β = 90.00°, γ = 90.00°
Last column: nearest neighbours and their distance in Å.
Positions (direct):
Ho: 0.0495 0.2500 0.1244  1 Pt 2.86, 5 Cu 2.90-3.15
Ho: 0.1116 0.7500 0.5668  3 Pt 2.85-2.95, 3 Cu 2.96-3.06
Ho: 0.2236 0.2500 0.8045  2 Pt 2.88, 5 Cu 2.93-3.19
Ho: 0.2764 0.7500 0.3045  2 Pt 2.88, 5 Cu 2.93-3.19
Ho: 0.3884 0.2500 0.0668  3 Pt 2.85-2.95, 3 Cu 2.96-3.06
Ho: 0.4505 0.7500 0.6244  1 Pt 2.86, 5 Cu 2.90-3.15
Ho: 0.5495 0.2500 0.3756  1 Pt 2.86, 5 Cu 2.90-3.15
Ho: 0.6116 0.7500 0.9332  3 Pt 2.85-2.95, 3 Cu 2.96-3.06
Ho: 0.7236 0.2500 0.6955  2 Pt 2.88, 5 Cu 2.93-3.19
Ho: 0.7764 0.7500 0.1955  2 Pt 2.88, 5 Cu 2.93-3.19
Ho: 0.8884 0.2500 0.4332  3 Pt 2.85-2.95, 3 Cu 2.96-3.06
Ho: 0.9505 0.7500 0.8756  1 Pt 2.86, 5 Cu 2.90-3.15
Cu: 0.0113 0.7500 0.2995  2 Pt 2.71, 5 Ho 2.90-2.96
Cu: 0.1886 0.7500 0.0195  1 Pt 2.58
Cu: 0.3114 0.2500 0.5195  1 Pt 2.58
Cu: 0.4887 0.2500 0.7995  2 Pt 2.71, 5 Ho 2.90-2.96
Cu: 0.5113 0.7500 0.2005  2 Pt 2.71, 5 Ho 2.90-2.96
Cu: 0.6886 0.7500 0.4805  1 Pt 2.58
Cu: 0.8114 0.2500 0.9805  1 Pt 2.58
Cu: 0.9887 0.2500 0.7005  2 Pt 2.71, 5 Ho 2.90-2.96
Pt: 0.1293 0.2500 0.3797  3 Cu 2.58-2.71, 4 Ho 2.85-2.88
Pt: 0.3707 0.7500 0.8797  3 Cu 2.58-2.71, 4 Ho 2.85-2.88
Pt: 0.6293 0.2500 0.1203  3 Cu 2.58-2.71, 4 Ho 2.85-2.88
Pt: 0.8707 0.7500 0.6203  3 Cu 2.58-2.71, 4 Ho 2.85-2.88

Magnetic moment ... 0.000 μB per cell
Offset from the most stable computed form ... 0.36 eV/f.u.
N(E_F) ... 21.706 states/eV per cell
Space group ... Pnma (62)
VASP energy ... -124.8 eV for the cell shown
Calculated formation energy ... -0.54 eV/atom

(9)
Ho3CuPt2: optimized geometry, PBE.

a = 11.5388 Å, b = 4.0369 Å, c = 11.4978 Å
α = 90.00°, β = 90.00°, γ = 90.00°
Last column: nearest neighbours and their distance in Å.
Positions (direct):
Ho: 0.0462 0.2500 0.1269  5 Pt 2.95-3.00, 1 Cu 3.02
Ho: 0.1281 0.7500 0.5673  4 Pt 2.89-3.08, 3 Cu 2.95-2.96
Ho: 0.2132 0.2500 0.8163  3 Pt 2.86-2.93, 2 Cu 2.86
Ho: 0.2868 0.7500 0.3163  3 Pt 2.86-2.93, 2 Cu 2.86
Ho: 0.3719 0.2500 0.0673  4 Pt 2.89-3.08, 3 Cu 2.95-2.96
Ho: 0.4538 0.7500 0.6269  5 Pt 2.95-3.00, 1 Cu 3.02
Ho: 0.5462 0.2500 0.3731  5 Pt 2.95-3.00, 1 Cu 3.02
Ho: 0.6281 0.7500 0.9327  4 Pt 2.89-3.08, 3 Cu 2.95-2.96
Ho: 0.7132 0.2500 0.6837  3 Pt 2.86-2.93, 2 Cu 2.86
Ho: 0.7868 0.7500 0.1837  3 Pt 2.86-2.93, 2 Cu 2.86
Ho: 0.8719 0.2500 0.4327  4 Pt 2.89-3.08, 3 Cu 2.95-2.96
Ho: 0.9538 0.7500 0.8731  5 Pt 2.95-3.00, 1 Cu 3.02
Cu: 0.1222 0.2500 0.3787  3 Pt 2.59-2.64, 2 Ho 2.86
Cu: 0.3778 0.7500 0.8787  3 Pt 2.59-2.64, 2 Ho 2.86
Cu: 0.6222 0.2500 0.1213  3 Pt 2.59-2.64, 2 Ho 2.86
Cu: 0.8778 0.7500 0.6213  3 Pt 2.59-2.64, 2 Ho 2.86
Pt: 0.0009 0.7500 0.3083  2 Cu 2.59, 3 Ho 2.86-2.89
Pt: 0.1822 0.7500 0.9979  1 Cu 2.64, 4 Ho 2.93-2.96
Pt: 0.3178 0.2500 0.4979  1 Cu 2.64, 4 Ho 2.93-2.96
Pt: 0.4991 0.2500 0.8083  2 Cu 2.59, 3 Ho 2.86-2.89
Pt: 0.5009 0.7500 0.1917  2 Cu 2.59, 3 Ho 2.86-2.89
Pt: 0.6822 0.7500 0.5021  1 Cu 2.64, 4 Ho 2.93-2.96
Pt: 0.8178 0.2500 0.0021  1 Cu 2.64, 4 Ho 2.93-2.96
Pt: 0.9991 0.2500 0.6917  2 Cu 2.59, 3 Ho 2.86-2.89

Magnetic moment ... 0.000 μB per cell
N(E_F) ... 14.957 states/eV per cell
Space group ... Pnma (62)
VASP energy ... -142.3 eV for the cell shown
Calculated formation energy ... -0.94 eV/atom

(10)
Ho3Cu3Pt: optimized geometry, PBE.

a = 5.3835 Å, b = 5.3835 Å, c = 14.1940 Å
α = 90.00°, β = 90.00°, γ = 137.26°
Last column: nearest neighbours and their distance in Å.
Positions (direct):
Ho: 0.0470 0.9530 0.7500  7 Cu 2.87-2.92
Ho: 0.3304 0.6696 0.5934  6 Cu 2.84-3.06, 2 Pt 2.92
Ho: 0.3304 0.6696 0.9066  6 Cu 2.84-3.06, 2 Pt 2.92
Ho: 0.6696 0.3304 0.0934  6 Cu 2.84-3.06, 2 Pt 2.92
Ho: 0.6696 0.3304 0.4066  6 Cu 2.84-3.06, 2 Pt 2.92
Ho: 0.9530 0.0470 0.2500  7 Cu 2.87-2.92
Cu: 0.2436 0.7564 0.2500  2 Cu 2.51
Cu: 0.3864 0.6136 0.1049  1 Cu 2.51, 2 Pt 2.71
Cu: 0.3864 0.6136 0.3951  1 Cu 2.51, 2 Pt 2.71
Cu: 0.6136 0.3864 0.6049  1 Cu 2.51, 2 Pt 2.71
Cu: 0.6136 0.3864 0.8951  1 Cu 2.51, 2 Pt 2.71
Cu: 0.7564 0.2436 0.7500  2 Cu 2.51
Pt: 0.0000 0.0000 0.0000  4 Cu 2.71, 4 Ho 2.92
Pt: 0.0000 0.0000 0.5000  4 Cu 2.71, 4 Ho 2.92

Magnetic moment ... 0.000 μB per cell
N(E_F) ... 9.528 states/eV per cell
Space group ... Cmcm (63)
VASP energy ... -71.3 eV for the cell shown
Calculated formation energy ... -0.51 eV/atom